A plane-wave DFT calculation with PBE-GGA was carried out for crystalline TmBeRu at its relaxed geometry.

Summary:
Symmetry = No. 74
ΔH_f (0 K) = -0.95 eV per formula unit
Energy relative to the lowest polymorph listed for this composition = 63 meV per atom
Size of the total moment = 0.000 μB/f.u.

Unit cell a=5.095 b=5.087 c=5.087 alpha=62.63 beta=59.94 gamma=59.94
Element x y z (fractional)
Tm1 0.872 0.378 0.378
Tm2 0.128 0.622 0.622
Be1 0.000 0.000 0.000
Be2 0.500 0.000 0.000
Ru1 0.500 0.500 0.000
Ru2 0.500 0.000 0.500


A plane-wave DFT calculation with PBE-GGA was carried out for crystalline Tm2BeRu2 at its relaxed geometry.

Summary:
Symmetry = No. 15
ΔH_f (0 K) = -1.71 eV per formula unit
Size of the total moment = 0.000 μB/f.u.

Unit cell a=5.876 b=5.876 c=6.622 alpha=77.19 beta=77.19 gamma=54.28
Element x y z (fractional)
Tm1 0.482 0.226 0.141
Tm2 0.774 0.518 0.359
Tm3 0.518 0.774 0.859
Tm4 0.226 0.482 0.641
Be1 0.116 0.884 0.250
Be2 0.884 0.116 0.750
Ru1 0.745 0.999 0.515
Ru2 0.001 0.255 0.985
Ru3 0.255 0.001 0.485
Ru4 0.999 0.745 0.015


A plane-wave DFT calculation with PBE-GGA was carried out for crystalline TmBeRu at its relaxed geometry.

Summary:
Symmetry = No. 107
ΔH_f (0 K) = -0.89 eV per formula unit
Energy relative to the lowest polymorph listed for this composition = 84 meV per atom
Size of the total moment = 0.000 μB/f.u.

Unit cell a=3.200 b=3.200 c=5.209 alpha=107.89 beta=107.89 gamma=90.00
Element x y z (fractional)
Ru1 0.293 0.293 0.586
Tm1 0.997 0.997 0.993
Be1 0.710 0.710 0.421


A plane-wave DFT calculation with PBE-GGA was carried out for crystalline TmBeRu at its relaxed geometry.

Summary:
Symmetry = No. 62
ΔH_f (0 K) = -1.06 eV per formula unit
Energy relative to the lowest polymorph listed for this composition = 27 meV per atom
Size of the total moment = 0.000 μB/f.u.

Unit cell a=4.109 b=6.944 c=6.784 alpha=90.00 beta=90.00 gamma=90.00
Element x y z (fractional)
Tm1 0.250 0.803 0.496
Tm2 0.750 0.303 0.004
Tm3 0.250 0.697 0.996
Tm4 0.750 0.197 0.504
Be1 0.750 0.908 0.188
Be2 0.750 0.592 0.688
Be3 0.250 0.092 0.812
Be4 0.250 0.408 0.312
Ru1 0.750 0.574 0.328
Ru2 0.750 0.926 0.828
Ru3 0.250 0.074 0.172
Ru4 0.250 0.426 0.672


A plane-wave DFT calculation with PBE-GGA was carried out for crystalline TmBeRu at its relaxed geometry.

Summary:
Symmetry = No. 12
ΔH_f (0 K) = -1.14 eV per formula unit
Energy relative to the lowest polymorph listed for this composition = 0 meV per atom
Size of the total moment = 0.000 μB/f.u.

Unit cell a=3.398 b=4.800 c=6.335 alpha=79.07 beta=105.56 gamma=90.00
Element x y z (fractional)
Be1 0.727 0.122 0.454
Be2 0.273 0.878 0.546
Tm1 0.606 0.692 0.212
Tm2 0.394 0.308 0.788
Ru1 0.901 0.805 0.802
Ru2 0.099 0.195 0.198


A plane-wave DFT calculation with PBE-GGA was carried out for crystalline TmBeRu at its relaxed geometry.

Summary:
Symmetry = No. 187
ΔH_f (0 K) = -0.97 eV per formula unit
Energy relative to the lowest polymorph listed for this composition = 56 meV per atom
Size of the total moment = 0.000 μB/f.u.

Unit cell a=3.677 b=3.972 c=3.972 alpha=120.00 beta=90.00 gamma=90.00
Element x y z (fractional)
Ru1 0.167 0.000 0.000
Tm1 0.667 0.333 0.667
Be1 0.167 0.667 0.333


Repeat the fifth record exactly.
A plane-wave DFT calculation with PBE-GGA was carried out for crystalline TmBeRu at its relaxed geometry.

Summary:
Symmetry = No. 12
ΔH_f (0 K) = -1.14 eV per formula unit
Energy relative to the lowest polymorph listed for this composition = 0 meV per atom
Size of the total moment = 0.000 μB/f.u.

Unit cell a=3.398 b=4.800 c=6.335 alpha=79.07 beta=105.56 gamma=90.00
Element x y z (fractional)
Be1 0.727 0.122 0.454
Be2 0.273 0.878 0.546
Tm1 0.606 0.692 0.212
Tm2 0.394 0.308 0.788
Ru1 0.901 0.805 0.802
Ru2 0.099 0.195 0.198